[1]
Compound: KPa2NiS4
Source: the Alexandria database
Functional: GGA-PBE
Structure: optimized geometry

Unit cell a=3.910 b=7.036 c=13.455 alpha=90.00 beta=90.00 gamma=106.13
Element x y z (fractional)
Ni (0.167, 0.334, 0.250)
Ni (0.833, 0.666, 0.750)
Pa (0.631, 0.263, 0.440)
Pa (0.369, 0.737, 0.560)
Pa (0.631, 0.263, 0.060)
Pa (0.369, 0.737, 0.940)
S (0.264, 0.529, 0.115)
S (0.264, 0.529, 0.385)
S (0.000, 0.000, 0.500)
S (0.000, 0.000, 0.000)
S (0.736, 0.471, 0.615)
S (0.575, 0.150, 0.250)
S (0.736, 0.471, 0.885)
S (0.425, 0.850, 0.750)
K (0.104, 0.208, 0.750)
K (0.896, 0.792, 0.250)

**E_form (uncorrected)**: -1080 kJ/mol of formula units
**Energy**: -53.579 eV per formula unit

[2]
Compound: K3Pa3NiS8
Source: the Alexandria database
Functional: GGA-PBE
Structure: optimized geometry

Unit cell a=8.153 b=7.800 c=8.600 alpha=114.74 beta=90.00 gamma=121.51
Element x y z (fractional)
S (0.714, 0.958, 0.705)
S (0.755, 0.042, 0.295)
S (0.262, 0.524, 0.293)
S (0.245, 0.958, 0.705)
S (0.286, 0.042, 0.295)
S (0.738, 0.476, 0.707)
S (0.797, 0.594, 0.330)
S (0.203, 0.406, 0.670)
K (0.500, 0.500, 0.000)
K (0.000, 0.000, 0.000)
K (0.000, 0.500, 0.000)
Pa (0.500, 0.500, 0.500)
Pa (0.000, 0.500, 0.500)
Pa (0.500, 0.000, 0.500)
Ni (0.000, 0.000, 0.500)

**E_form (uncorrected)**: -1898 kJ/mol of formula units
**Energy**: -90.248 eV per formula unit

[3]
Compound: K2PaNi2S6
Source: the Alexandria database
Functional: GGA-PBE
Structure: optimized geometry

Unit cell a=7.177 b=7.096 c=7.810 alpha=118.73 beta=90.00 gamma=120.38
Element x y z (fractional)
S (0.753, 0.507, 0.704)
S (0.722, 0.950, 0.234)
S (0.278, 0.050, 0.766)
S (0.227, 0.950, 0.234)
S (0.773, 0.050, 0.766)
S (0.247, 0.493, 0.296)
Pa (0.500, 0.000, 0.500)
K (0.272, 0.544, 0.782)
K (0.728, 0.456, 0.218)
Ni (0.951, 0.902, 0.800)
Ni (0.049, 0.098, 0.200)

**E_form (uncorrected)**: -865 kJ/mol of formula units
**Energy**: -56.985 eV per formula unit

[4]
Compound: K2PaNiS4
Source: the Alexandria database
Functional: GGA-PBE
Structure: optimized geometry

Unit cell a=5.681 b=9.398 c=8.023 alpha=90.00 beta=90.00 gamma=90.00
Element x y z (fractional)
S (0.930, 0.903, 0.000)
S (0.407, 0.158, 0.000)
S (0.932, 0.275, 0.244)
S (0.430, 0.097, 0.500)
S (0.432, 0.725, 0.256)
S (0.907, 0.842, 0.500)
S (0.932, 0.275, 0.756)
S (0.432, 0.725, 0.744)
K (0.432, 0.377, 0.266)
K (0.932, 0.623, 0.234)
K (0.932, 0.623, 0.766)
K (0.432, 0.377, 0.734)
Ni (0.009, 0.138, 0.000)
Ni (0.509, 0.862, 0.500)
Pa (0.424, 0.893, 0.000)
Pa (0.924, 0.107, 0.500)

**E_form (uncorrected)**: -783 kJ/mol of formula units
**Energy**: -42.100 eV per formula unit